[1]
A relaxed CuRe2Rh crystal, computed with GGA-PBEsol.

**Energy relative to the lowest polymorph listed for this composition**: 28 kJ/mol of formula units
**Total moment**: 0.00 μB/f.u.
**D(E_F)**: 8.437 states/eV per cell
**Uncorrected energy**: -9.535 eV per atom
**Energy of formation from the pure elements**: 0.25 eV/atom

Cell: 6.0404 6.0404 6.0404 Å, 90.00 90.00 90.00°
Closest atoms and distances in Å follow each position.
Space group F-43m (No. 216)
One atom of each set of equivalent atoms:
Cu (0.0000, 0.0000, 0.0000)  4 Re 2.62, 4 Rh 2.62
Re (0.0000, 0.0000, 0.5000)  4 Rh 2.62, 4 Re 2.62
Re (0.2500, 0.2500, 0.7500)  4 Re 2.62, 4 Cu 2.62
Rh (0.2500, 0.2500, 0.2500)  4 Re 2.62, 4 Cu 2.62



[2]
A relaxed CuReRh crystal, computed with GGA-PBEsol.

**Total moment**: 0.00 μB/f.u.
**D(E_F)**: 20.178 states/eV per cell
**Uncorrected energy**: -7.781 eV per atom
**Energy of formation from the pure elements**: 0.82 eV/atom

Cell: 5.7512 5.7512 5.7512 Å, 90.00 90.00 90.00°
Closest atoms and distances in Å follow each position.
Space group F-43m (No. 216)
One atom of each set of equivalent atoms:
Cu (0.0000, 0.0000, 0.0000)  4 Re 2.49
Re (0.2500, 0.2500, 0.2500)  4 Cu 2.49, 4 Rh 2.49
Rh (0.0000, 0.0000, 0.5000)  4 Re 2.49



[3]
A relaxed CuReRh2 crystal, computed with GGA-PBEsol.

**Total moment**: 0.00 μB/f.u.
**D(E_F)**: 11.001 states/eV per cell
**Uncorrected energy**: -8.509 eV per atom
**Energy of formation from the pure elements**: -0.02 eV/atom

Cell: 2.6898 2.6898 25.6997 Å, 90.00 90.00 120.00°
Closest atoms and distances in Å follow each position.
Space group R-3m (No. 166, hexagonal axes)
One atom of each set of equivalent atoms:
Cu (0.0000, 0.0000, 0.0000)  6 Rh 2.64, 6 Cu 2.69
Re (0.0000, 0.0000, 0.5000)  6 Rh 2.65, 6 Re 2.69
Rh (0.0000, 0.0000, 0.2504)  3 Cu 2.64, 3 Re 2.65, 6 Rh 2.69